First-principles (PBE) data for a relaxed structure of V3PdSe6, as listed in Alexandria via LeMat-Bulk.

Computed properties:
Space group   R-3, No. 148
DFT total energy   -5.7974 eV/atom
Crystal system   trigonal
Formation energy from raw total energies   -43.6 kJ per mole of atoms

Cell lengths 7.524, 7.524, 7.524 Å; angles 90.42, 90.42, 90.42 degrees
Sites, in units of the cell vectors:
V (0.070, 0.742, 0.575)
V (0.258, 0.425, 0.930)
V (0.425, 0.930, 0.258)
V (0.575, 0.070, 0.742)
V (0.742, 0.575, 0.070)
V (0.930, 0.258, 0.425)
Pd (0.000, 0.000, 0.000)
Pd (0.500, 0.500, 0.500)
Se (0.029, 0.677, 0.898)
Se (0.102, 0.971, 0.323)
Se (0.177, 0.417, 0.595)
Se (0.323, 0.102, 0.971)
Se (0.405, 0.823, 0.583)
Se (0.417, 0.595, 0.177)
Se (0.583, 0.405, 0.823)
Se (0.595, 0.177, 0.417)
Se (0.677, 0.898, 0.029)
Se (0.823, 0.583, 0.405)
Se (0.898, 0.029, 0.677)
Se (0.971, 0.323, 0.102)